Fe4Co | GGA-PBEsol | relaxed

a b c (Å): 11.5149 3.9549 2.4297
angles (deg): 90.00 98.05 90.00
Closest atoms and distances in Å follow each position.
Space group C2/m (No. 12)
Inequivalent atoms, fractional coordinates:
Fe 0.0994 0.0000 0.3978  6 Fe 2.41-2.43, 2 Co 2.42
Fe 0.1999 0.5000 0.8028  1 Co 2.42, 7 Fe 2.42-2.43
Co 0.0000 0.5000 0.0000  6 Fe 2.42, 2 Co 2.43

Properties
Formation enthalpy at 0 K: 0.12 eV/f.u.
Relative energy among the computed polymorphs: 0.0122 eV per atom